Record 1
A plane-wave DFT calculation with GGA-PBE was carried out for a relaxed RbSr3Se crystal.

E above lowest polymorph: 0.0 meV per atom

a b c (Å): 6.3285 6.3285 6.3285
angles (deg): 90.00 90.00 90.00
Closest atoms and distances in Å follow each position.
Sites, in units of the cell vectors:
Se1 0.0000 0.0000 0.0000  6 Sr 3.16
Rb1 0.5000 0.5000 0.5000  12 Sr 4.47
Sr1 0.5000 0.0000 0.0000  2 Se 3.16
Sr2 0.0000 0.5000 0.0000  2 Se 3.16
Sr3 0.0000 0.0000 0.5000  2 Se 3.16


Record 2
A plane-wave DFT calculation with GGA-PBE was carried out for a relaxed Rb2SrSe crystal.

E_tot: -2.45 eV per atom

a b c (Å): 12.7702 12.7702 9.5084
angles (deg): 47.82 47.82 90.00
Closest atoms and distances in Å follow each position.
Sites, in units of the cell vectors:
Rb1 0.2710 0.6250 0.2500  2 Se 3.54
Rb2 0.8750 0.7290 0.7500  2 Se 3.54
Rb3 0.3750 0.5210 0.7500  2 Se 3.54
Se1 0.5000 0.5000 0.0000  2 Sr 2.98
Sr1 0.7500 0.2500 0.5000  2 Se 2.98
Se2 0.2500 0.7500 0.5000  2 Sr 2.98
Rb4 0.4790 0.1250 0.2500  2 Se 3.54
Sr2 0.0000 0.0000 0.0000  2 Se 2.98


Record 3
A plane-wave DFT calculation with GGA-PBE was carried out for a relaxed RbSr3Se crystal.

E above lowest polymorph: 1391.3 meV per atom

a b c (Å): 6.5052 6.5052 6.5052
angles (deg): 90.00 90.00 90.00
Closest atoms and distances in Å follow each position.
Sites, in units of the cell vectors:
Sr1 0.0000 0.0000 0.5000  2 Rb 3.25
Sr2 0.0000 0.5000 0.0000  2 Rb 3.25
Se1 0.5000 0.5000 0.5000  12 Sr 4.60
Sr3 0.5000 0.0000 0.0000  2 Rb 3.25
Rb1 0.0000 0.0000 0.0000  6 Sr 3.25


Record 4
A plane-wave DFT calculation with GGA-PBE was carried out for a relaxed RbSrSe3 crystal.

E above lowest polymorph: 0.0 meV per atom

a b c (Å): 5.9625 5.9625 5.9625
angles (deg): 90.00 90.00 90.00
Closest atoms and distances in Å follow each position.
Sites, in units of the cell vectors:
Rb1 0.5000 0.5000 0.5000  12 Se 4.22
Se1 0.0000 0.5000 0.0000  2 Sr 2.98
Sr1 0.0000 0.0000 0.0000  6 Se 2.98
Se2 0.0000 0.0000 0.5000  2 Sr 2.98
Se3 0.5000 0.0000 0.0000  2 Sr 2.98


Record 5
A plane-wave DFT calculation with GGA-PBE was carried out for a relaxed RbSrSe3 crystal.

E above lowest polymorph: 595.3 meV per atom

a b c (Å): 5.7100 5.7100 5.7100
angles (deg): 90.00 90.00 90.00
Closest atoms and distances in Å follow each position.
Sites, in units of the cell vectors:
Rb1 0.0000 0.0000 0.0000  6 Se 2.86
Se1 0.0000 0.0000 0.5000  2 Rb 2.86
Sr1 0.5000 0.5000 0.5000  12 Se 4.04
Se2 0.0000 0.5000 0.0000  2 Rb 2.86
Se3 0.5000 0.0000 0.0000  2 Rb 2.86


Record 6
A plane-wave DFT calculation with GGA-PBE was carried out for a relaxed Rb3Sr2TaSe6 crystal.

E_tot: -4.60 eV per atom

a b c (Å): 7.5314 7.5314 8.2829
angles (deg): 98.83 98.83 119.91
Closest atoms and distances in Å follow each position.
Sites, in units of the cell vectors:
Ta1 0.0000 0.0000 0.0000  6 Se 2.65
Se1 0.9351 0.6475 0.8058  1 Ta 2.65
Rb1 0.5000 0.5000 0.5000  6 Se 3.37-3.76
Se2 0.7806 0.7806 0.1954  1 Ta 2.65
Se3 0.0649 0.3525 0.1942  1 Ta 2.65
Se4 0.2194 0.2194 0.8046  1 Ta 2.65
Sr1 0.3340 0.6660 0.0000  6 Se 3.11
Sr2 0.6660 0.3340 0.0000  6 Se 3.11
Se5 0.3525 0.0649 0.1942  1 Ta 2.65
Se6 0.6475 0.9351 0.8058  1 Ta 2.65
Rb2 0.8266 0.1734 0.5000  6 Se 3.39-3.68
Rb3 0.1734 0.8266 0.5000  6 Se 3.39-3.68


Record 7
A plane-wave DFT calculation with GGA-PBE was carried out for a relaxed RbSrTaSe4 crystal.

E_tot: -5.36 eV per atom

a b c (Å): 7.2524 7.3049 9.5740
angles (deg): 90.00 107.53 90.00
Closest atoms and distances in Å follow each position.
Sites, in units of the cell vectors:
Rb1 0.7285 0.7500 0.9334  8 Se 3.55-3.83
Se1 0.0042 0.5084 0.7264  1 Ta 2.42
Ta1 0.7857 0.2500 0.6812  4 Se 2.40-2.42
Sr1 0.2290 0.2500 0.5485  6 Se 3.18-3.29
Se2 0.9958 0.0084 0.2736  1 Ta 2.42
Sr2 0.7710 0.7500 0.4515  6 Se 3.18-3.29
Se3 0.5944 0.2500 0.4284  1 Ta 2.40
Se4 0.9958 0.4916 0.2736  1 Ta 2.42
Se5 0.4056 0.7500 0.5716  1 Ta 2.40
Ta2 0.2143 0.7500 0.3188  4 Se 2.40-2.42
Se6 0.0042 0.9916 0.7264  1 Ta 2.42
Se7 0.5843 0.2500 0.8408  1 Ta 2.41
Se8 0.4157 0.7500 0.1592  1 Ta 2.41
Rb2 0.2715 0.2500 0.0666  8 Se 3.55-3.83


Record 8
A plane-wave DFT calculation with GGA-PBE was carried out for a relaxed Rb2Sr2TaSe6 crystal.

E_tot: -4.69 eV per atom

a b c (Å): 7.3510 7.3510 8.4895
angles (deg): 99.14 99.14 118.25
Closest atoms and distances in Å follow each position.
Sites, in units of the cell vectors:
Sr1 0.6644 0.3356 0.5000  6 Se 3.08-3.11
Se1 0.9316 0.6452 0.3077  1 Ta 2.62
Se2 0.0684 0.3548 0.6923  1 Ta 2.62
Rb1 0.1770 0.8230 0.0000  6 Se 3.44-3.63
Rb2 0.8230 0.1770 0.0000  6 Se 3.44-3.63
Sr2 0.3356 0.6644 0.5000  6 Se 3.08-3.11
Se3 0.3548 0.0684 0.6923  1 Ta 2.62
Se4 0.7868 0.7868 0.6919  1 Ta 2.62
Ta1 0.0000 0.0000 0.5000  6 Se 2.62
Se5 0.2132 0.2132 0.3081  1 Ta 2.62
Se6 0.6452 0.9316 0.3077  1 Ta 2.62


Record 9
A plane-wave DFT calculation with GGA-PBE was carried out for a relaxed Rb2SrTaSe4 crystal.

E_tot: -4.77 eV per atom

a b c (Å): 7.3976 7.3976 7.3976
angles (deg): 100.42 114.18 114.18
Closest atoms and distances in Å follow each position.
Sites, in units of the cell vectors:
Rb1 0.5000 0.7500 0.2500  4 Se 3.36
Rb2 0.0000 0.0000 0.0000  4 Se 3.65
Se1 0.6110 0.4034 0.4398  1 Ta 2.48
Se2 0.9637 0.5602 0.1712  1 Ta 2.48
Se3 0.3890 0.8288 0.7924  1 Ta 2.48
Se4 0.0363 0.2076 0.5966  1 Ta 2.48
Ta1 0.0000 0.5000 0.5000  4 Se 2.48
Sr1 0.5000 0.2500 0.7500  4 Se 2.99


Record 10
A plane-wave DFT calculation with GGA-PBE was carried out for a relaxed Rb3SrTh2Se6 crystal.

E_tot: -4.99 eV per atom

a b c (Å): 4.3844 9.5636 10.4744
angles (deg): 108.51 102.08 90.00
Closest atoms and distances in Å follow each position.
Sites, in units of the cell vectors:
Se1 0.6637 0.1214 0.3273  2 Th 2.98, 1 Sr 3.17
Rb1 0.5000 0.5000 0.0000  6 Se 3.42-3.50
Rb2 0.8380 0.1665 0.6759  6 Se 3.45-3.54
Se2 0.3223 0.4431 0.6445  3 Th 3.00-3.01
Th1 0.8325 0.6654 0.6650  6 Se 2.88-3.01
Se3 0.9811 0.7587 0.9621  1 Th 2.88, 2 Sr 3.11
Se4 0.6777 0.5569 0.3555  3 Th 3.00-3.01
Se5 0.3363 0.8786 0.6727  2 Th 2.98, 1 Sr 3.17
Rb3 0.1620 0.8335 0.3241  6 Se 3.45-3.54
Se6 0.0189 0.2413 0.0379  1 Th 2.88, 2 Sr 3.11
Sr1 0.5000 0.0000 0.0000  6 Se 3.11-3.17
Th2 0.1675 0.3346 0.3350  6 Se 2.88-3.01


Record 11
A plane-wave DFT calculation with GGA-PBE was carried out for a relaxed Rb4SrTh3Se8 crystal.

E_tot: -5.08 eV per atom

a b c (Å): 8.7514 9.5071 8.7514
angles (deg): 117.42 120.00 90.00
Closest atoms and distances in Å follow each position.
Sites, in units of the cell vectors:
Th1 0.5000 0.5000 0.0000  6 Se 2.97-3.00
Se1 0.7340 0.7017 0.4680  3 Th 3.00
Sr1 0.0000 0.5000 0.0000  6 Se 3.11
Se2 0.2660 0.2983 0.5320  3 Th 3.00
Th2 0.5000 0.5000 0.5000  6 Se 2.97-3.00
Rb1 0.5000 0.0000 0.0000  6 Se 3.39
Se3 0.7580 0.2956 0.0374  2 Th 2.97, 1 Sr 3.11
Rb2 0.0000 0.0000 0.5000  6 Se 3.49-3.51
Se4 0.2420 0.7044 0.9626  2 Th 2.97, 1 Sr 3.11
Se5 0.7205 0.7044 0.9626  2 Th 2.97, 1 Sr 3.11
Rb3 0.5000 0.0000 0.5000  6 Se 3.49-3.51
Th3 0.0000 0.5000 0.5000  6 Se 2.97-3.00
Se6 0.2795 0.2956 0.0374  2 Th 2.97, 1 Sr 3.11
Rb4 0.0000 0.0000 0.0000  6 Se 3.48-3.51
Se7 0.2420 0.7043 0.4841  2 Th 2.97, 1 Sr 3.11
Se8 0.7580 0.2957 0.5159  2 Th 2.97, 1 Sr 3.11


Record 12
A plane-wave DFT calculation with GGA-PBE was carried out for a relaxed RbSrTlSe3 crystal.

E_tot: -3.56 eV per atom

a b c (Å): 6.3089 7.5990 9.7926
angles (deg): 101.29 90.00 114.53
Closest atoms and distances in Å follow each position.
Sites, in units of the cell vectors:
Se1 0.4880 0.9760 0.7139  2 Sr 2.99-3.09, 2 Tl 3.17
Rb1 0.3458 0.6915 0.9552  5 Se 3.36-3.56
Sr1 0.3408 0.6817 0.4281  5 Se 2.99-3.17
Se2 0.1492 0.2983 0.5955  2 Tl 2.80-2.87
Tl1 0.0307 0.0615 0.3167  3 Se 2.62-2.87
Se3 0.1652 0.3305 0.1647  1 Tl 2.62
Sr2 0.6592 0.3183 0.5719  5 Se 2.99-3.17
Rb2 0.6542 0.3085 0.0448  5 Se 3.36-3.56
Se4 0.8348 0.6695 0.8353  1 Tl 2.62
Se5 0.8508 0.7017 0.4045  2 Tl 2.80-2.87
Tl2 0.9693 0.9385 0.6833  3 Se 2.62-2.87
Se6 0.5120 0.0240 0.2861  2 Sr 2.99-3.09, 2 Tl 3.17


Record 13
A plane-wave DFT calculation with GGA-PBE was carried out for a relaxed Rb2SrTlSe4 crystal.

E_tot: -3.38 eV per atom

a b c (Å): 9.2465 9.2465 9.9493
angles (deg): 121.61 121.61 92.22
Closest atoms and distances in Å follow each position.
Sites, in units of the cell vectors:
Se1 0.7875 0.2976 0.5464  2 Sr 3.02-3.05, 1 Tl 3.28
Se2 0.2125 0.7024 0.4536  2 Sr 3.02-3.05, 1 Tl 3.28
Se3 0.2686 0.2801 0.4730  1 Tl 2.70
Rb1 0.5000 0.0000 0.5000  6 Se 3.42-3.58
Se4 0.7801 0.7686 0.9730  1 Tl 2.70
Tl1 0.0000 0.0000 0.0000  2 Se 2.70
Rb2 0.5000 0.5000 0.0000  6 Se 3.42-3.73
Se5 0.2199 0.2314 0.0270  1 Tl 2.70
Rb3 0.5000 0.0000 0.0000  6 Se 3.42-3.58
Se6 0.7976 0.2875 0.0464  2 Sr 3.02-3.05, 1 Tl 3.28
Se7 0.2024 0.7125 0.9536  2 Sr 3.02-3.05, 1 Tl 3.28
Sr1 0.0000 0.5000 0.0000  6 Se 3.02-3.30
Sr2 0.0000 0.5000 0.5000  6 Se 3.02-3.30
Rb4 0.0000 0.0000 0.5000  6 Se 3.42-3.73
Se8 0.7314 0.7199 0.5270  1 Tl 2.70
Tl2 0.5000 0.5000 0.5000  2 Se 2.70


Record 14
A plane-wave DFT calculation with GGA-PBE was carried out for a relaxed Rb2Sr2USe6 crystal.

E_tot: -4.89 eV per atom

a b c (Å): 7.5345 7.5345 8.5025
angles (deg): 99.13 99.13 118.66
Closest atoms and distances in Å follow each position.
Sites, in units of the cell vectors:
Se1 0.3625 0.0668 0.6952  1 U 2.73
U1 0.0000 0.0000 0.5000  6 Se 2.72-2.73
Se2 0.7776 0.7776 0.6943  1 U 2.72
Sr1 0.6652 0.3348 0.5000  6 Se 3.11-3.14
Se3 0.9332 0.6375 0.3048  1 U 2.73
Sr2 0.3348 0.6652 0.5000  6 Se 3.11-3.14
Rb1 0.1749 0.8251 0.0000  6 Se 3.47-3.64
Se4 0.6375 0.9332 0.3048  1 U 2.73
Se5 0.2224 0.2224 0.3057  1 U 2.72
Rb2 0.8251 0.1749 0.0000  6 Se 3.47-3.64
Se6 0.0668 0.3625 0.6952  1 U 2.73


Record 15
A plane-wave DFT calculation with GGA-PBE was carried out for a relaxed Rb2SrUSe4 crystal.

E_tot: -5.06 eV per atom

a b c (Å): 4.3974 7.6780 8.3559
angles (deg): 107.45 90.00 90.00
Closest atoms and distances in Å follow each position.
Sites, in units of the cell vectors:
Se1 0.5000 0.7891 0.8048  2 U 2.92, 1 Sr 3.12
Sr1 0.5000 0.5000 0.0000  6 Se 3.11-3.12
U1 0.0000 0.0000 0.0000  6 Se 2.83-2.92
Se2 0.0000 0.2387 0.7998  1 U 2.83, 2 Sr 3.11
Se3 0.5000 0.2109 0.1952  2 U 2.92, 1 Sr 3.12
Rb1 0.0000 0.5000 0.5000  6 Se 3.59-3.65
Rb2 0.5000 0.0000 0.5000  6 Se 3.40-3.42
Se4 0.0000 0.7613 0.2002  1 U 2.83, 2 Sr 3.11


Record 16
A plane-wave DFT calculation with GGA-PBE was carried out for a relaxed Rb3Sr2USe6 crystal.

E_tot: -4.74 eV per atom

a b c (Å): 7.7021 7.7021 8.3666
angles (deg): 98.89 98.89 119.94
Closest atoms and distances in Å follow each position.
Sites, in units of the cell vectors:
Se1 0.9335 0.6330 0.8006  1 U 2.81, 2 Sr 3.14
Se2 0.7682 0.7682 0.2001  1 U 2.80
U1 0.0000 0.0000 0.0000  6 Se 2.80-2.81
Sr1 0.6662 0.3338 0.0000  6 Se 3.14
Se3 0.6330 0.9335 0.8006  1 U 2.81, 2 Sr 3.14
Sr2 0.3338 0.6662 0.0000  6 Se 3.14
Se4 0.3670 0.0665 0.1994  1 U 2.81, 2 Sr 3.14
Rb1 0.8279 0.1721 0.5000  6 Se 3.43-3.65
Se5 0.2318 0.2318 0.7999  1 U 2.80
Rb2 0.5000 0.5000 0.5000  6 Se 3.42-3.71
Rb3 0.1721 0.8279 0.5000  6 Se 3.43-3.65
Se6 0.0665 0.3670 0.1994  1 U 2.81, 2 Sr 3.14


Record 17
A plane-wave DFT calculation with GGA-PBE was carried out for a relaxed RbSr2USe6 crystal.

E_tot: -4.96 eV per atom

a b c (Å): 7.5556 8.3536 10.4282
angles (deg): 90.00 84.98 90.00
Closest atoms and distances in Å follow each position.
Sites, in units of the cell vectors:
Se1 0.3246 0.9013 0.7192  1 U 2.67
Se2 0.6754 0.0987 0.2808  1 U 2.67
Se3 0.8246 0.5987 0.2192  1 U 2.67
Sr1 0.9644 0.0876 0.7247  7 Se 3.13-3.48
Se4 0.6358 0.2638 0.6107  1 U 2.73
Rb1 0.0000 0.5000 0.5000  6 Se 3.24-3.50
Se5 0.1358 0.2362 0.1107  1 U 2.73
Se6 0.2140 0.1683 0.4426  1 U 2.69
Se7 0.1754 0.4013 0.7808  1 U 2.67
Se8 0.3642 0.7362 0.3893  1 U 2.73
Se9 0.2860 0.6683 0.0574  1 U 2.69
Se10 0.7860 0.8317 0.5574  1 U 2.69
Rb2 0.5000 0.0000 0.0000  6 Se 3.24-3.50
U1 0.0000 0.5000 0.0000  6 Se 2.67-2.73
Se11 0.8642 0.7638 0.8893  1 U 2.73
Se12 0.7140 0.3317 0.9426  1 U 2.69
Sr2 0.0356 0.9124 0.2753  7 Se 3.13-3.48
U2 0.5000 0.0000 0.5000  6 Se 2.67-2.73
Sr3 0.5356 0.5876 0.7753  7 Se 3.13-3.48
Sr4 0.4644 0.4124 0.2247  7 Se 3.13-3.48


Record 18
A plane-wave DFT calculation with GGA-PBE was carried out for a relaxed RbSrVSe4 crystal.

E_tot: -4.90 eV per atom

a b c (Å): 7.0149 7.0943 9.5839
angles (deg): 90.00 107.87 90.00
Closest atoms and distances in Å follow each position.
Sites, in units of the cell vectors:
V1 0.2013 0.7500 0.3155  4 Se 2.28-2.30
Se1 0.3814 0.7500 0.5586  1 V 2.28
Se2 0.9893 0.0054 0.2676  1 V 2.30
Se3 0.0107 0.9946 0.7324  1 V 2.30
Se4 0.4025 0.7500 0.1673  1 V 2.29
Se5 0.5975 0.2500 0.8327  1 V 2.29
Sr1 0.7693 0.7500 0.4563  6 Se 3.15-3.26
V2 0.7987 0.2500 0.6845  4 Se 2.28-2.30
Sr2 0.2307 0.2500 0.5437  6 Se 3.15-3.26
Se6 0.0107 0.5054 0.7324  1 V 2.30
Rb1 0.2785 0.2500 0.0701  8 Se 3.61-3.70
Se7 0.9893 0.4946 0.2676  1 V 2.30
Se8 0.6186 0.2500 0.4414  1 V 2.28
Rb2 0.7215 0.7500 0.9299  8 Se 3.61-3.70


Record 19
A plane-wave DFT calculation with GGA-PBE was carried out for a relaxed RbSrW2Se crystal.

E_tot: -5.20 eV per atom

a b c (Å): 4.7764 5.9274 4.7764
angles (deg): 90.00 90.00 90.00
Closest atoms and distances in Å follow each position.
Sites, in units of the cell vectors:
Rb1 0.5000 0.5000 0.5000  4 Sr 3.38
W1 0.0000 0.0000 0.5000  2 Se 2.39
Se1 0.0000 0.0000 0.0000  4 W 2.39
W2 0.5000 0.0000 0.0000  2 Se 2.39
Sr1 0.0000 0.5000 0.0000  2 Se 2.96


Record 20
A plane-wave DFT calculation with GGA-PBE was carried out for a relaxed RbSr2ZnSe crystal.

E_tot: -2.22 eV per atom

a b c (Å): 5.9148 7.3936 5.9148
angles (deg): 90.00 90.00 90.00
Closest atoms and distances in Å follow each position.
Sites, in units of the cell vectors:
Sr1 0.5000 0.0000 0.0000  2 Se 2.96
Sr2 0.0000 0.0000 0.5000  2 Se 2.96
Rb1 0.5000 0.5000 0.5000  4 Zn 4.18
Se1 0.0000 0.0000 0.0000  4 Sr 2.96
Zn1 0.0000 0.5000 0.0000  2 Se 3.70